5
Lattice="-2.4157 -3.0575 4.5944 -3.4612 -3.0670 -3.8609 3.5095 -3.4191 -0.4301" Properties=species:S:1:pos:R:3 comment="BaSr2GaCu PBE-GGA optimized geometry" dft_energy_ev_per_atom=-2.499 dos_at_fermi_per_ev_cell=4.15 pbc="T T T"
Ba -1.1837 -4.7718 0.1517
Cu 0.0000 0.0000 0.0000
Sr -1.2078 -1.5288 2.2972
Sr -1.7306 -1.5335 -1.9304
Ga 1.7548 -1.7096 -0.2151

***

4
Lattice="-3.9644 0.9519 -3.8143 -1.1499 -3.8698 -3.8567 -4.8173 -2.8138 0.2185" Properties=species:S:1:pos:R:3 comment="BaSrGaCu PBE-GGA optimized geometry" dft_energy_ev_per_atom=-2.782 dos_at_fermi_per_ev_cell=4.08 polymorph_energy_ev_per_atom=0.136 pbc="T T T"
Ga -2.4829 -1.4329 -1.8631
Ba 0.0000 0.0000 0.0000
Sr -4.9658 -2.8659 -3.7262
Cu -7.4487 -4.2988 -5.5893

***

4
Lattice="4.5043 -0.0174 -0.0040 -2.2409 3.9073 0.0040 -2.2416 -1.2991 8.2342" Properties=species:S:1:pos:R:3 comment="BaSrGaCu PBE-GGA optimized geometry" dft_energy_ev_per_atom=-2.917 dos_at_fermi_per_ev_cell=3.12 polymorph_energy_ev_per_atom=0.000 pbc="T T T"
Cu 0.6180 2.2438 0.9605
Sr -3.8738 2.2540 7.2506
Ga 2.8661 0.9358 0.9719
Ba 0.6132 -0.3568 3.1402

***

5
Lattice="6.3481 0.0000 0.0000 0.0000 6.3481 0.0000 0.0000 0.0000 4.9977" Properties=species:S:1:pos:R:3 comment="Ba2TaGaCu PBE-GGA optimized geometry" dft_energy_ev_per_atom=-3.708 dos_at_fermi_per_ev_cell=4.71 pbc="T T T"
Ga 0.0000 0.0000 0.0000
Ta 0.0000 0.0000 2.4988
Ba 3.1741 0.0000 0.0000
Cu 3.1741 3.1741 2.4988
Ba 0.0000 3.1741 0.0000

***

8
Lattice="-1.9754 -6.0539 3.5974 2.7269 -1.6777 6.1090 -5.9276 -0.4022 3.5032" Properties=species:S:1:pos:R:3 comment="BaGaCu2Te4 PBE-GGA optimized geometry" dft_energy_ev_per_atom=-3.709 formation_energy_uncorrected_ev_per_fu=-3.96 dos_at_fermi_per_ev_cell=3.86 pbc="T T T"
Te -3.2766 -2.8656 3.8537
Cu -4.7490 -3.7484 5.9542
Te -0.7319 -1.6899 7.2297
Ga -1.6004 -1.0399 4.8061
Cu -0.4271 -4.3854 7.2554
Te -4.9451 -4.8193 8.4390
Te -1.3986 -6.8928 6.8970
Ba 0.0000 0.0000 0.0000

***

5
Lattice="-1.5065 4.7540 0.9877 -2.4922 -1.6402 4.0929 4.1615 0.7314 2.8271" Properties=species:S:1:pos:R:3 comment="BaTi2GaCu PBE-GGA optimized geometry" dft_energy_ev_per_atom=-3.149 dos_at_fermi_per_ev_cell=4.27 pbc="T T T"
Ti 2.0807 0.3657 1.4136
Ga 0.0814 1.9226 3.9539
Ba 0.0000 0.0000 0.0000
Ti -0.7533 2.3770 0.4939
Cu -1.2461 -0.8201 2.0464

***

What is the formula in the fourth record? Ba2TaGaCu

***

Which formula does entry 5 have? BaGaCu2Te4